(1)
First-principles (PBE) data for Rb3ErTm2Te6 after structural relaxation, as listed in Alexandria.

Values from the calculation:
The value obtained for the calculated volume is 37.25 A^3/atom. The uncorrected formation energy comes out at -1.361 eV per atom. As for the space-group type: C2/m.

Unit cell a=7.773 b=7.773 c=8.928 alpha=98.34 beta=98.34 gamma=120.00
Sites, in units of the cell vectors:
Rb (0.000, 0.000, 0.000)
Rb (0.334, 0.666, 0.000)
Rb (0.666, 0.334, 0.000)
Er (0.500, 0.500, 0.500)
Tm (0.167, 0.833, 0.500)
Tm (0.833, 0.167, 0.500)
Te (0.100, 0.434, 0.303)
Te (0.231, 0.231, 0.697)
Te (0.434, 0.100, 0.303)
Te (0.566, 0.900, 0.697)
Te (0.769, 0.769, 0.303)
Te (0.900, 0.566, 0.697)

***

(2)
First-principles (PBE) data for Rb3Er2TmTe6 after structural relaxation, as listed in Alexandria.

Values from the calculation:
The value obtained for the calculated volume is 37.33 A^3/atom. The uncorrected formation energy comes out at -1.365 eV per atom. As for the space-group type: C2/m.

Unit cell a=7.781 b=7.781 c=8.929 alpha=98.35 beta=98.35 gamma=120.00
Sites, in units of the cell vectors:
Rb (0.000, 0.000, 0.000)
Rb (0.333, 0.667, 0.000)
Rb (0.667, 0.333, 0.000)
Er (0.167, 0.833, 0.500)
Er (0.833, 0.167, 0.500)
Tm (0.500, 0.500, 0.500)
Te (0.102, 0.434, 0.303)
Te (0.233, 0.233, 0.698)
Te (0.434, 0.102, 0.303)
Te (0.566, 0.898, 0.697)
Te (0.767, 0.767, 0.302)
Te (0.898, 0.566, 0.697)

***

(3)
First-principles (PBE) data for Rb3ErTm3Te8 after structural relaxation, as listed in Alexandria.

Values from the calculation:
The value obtained for the calculated volume is 38.87 A^3/atom. The uncorrected formation energy comes out at -1.297 eV per atom. As for the space-group type: R-3m.

Unit cell a=10.178 b=10.178 c=10.178 alpha=50.76 beta=50.76 gamma=50.76
Sites, in units of the cell vectors:
Rb (0.000, 0.500, 0.500)
Rb (0.500, 0.000, 0.500)
Rb (0.500, 0.500, 0.000)
Er (0.500, 0.500, 0.500)
Tm (0.000, 0.000, 0.500)
Tm (0.000, 0.500, 0.000)
Tm (0.500, 0.000, 0.000)
Te (0.229, 0.734, 0.734)
Te (0.233, 0.233, 0.233)
Te (0.266, 0.266, 0.771)
Te (0.266, 0.771, 0.266)
Te (0.734, 0.229, 0.734)
Te (0.734, 0.734, 0.229)
Te (0.767, 0.767, 0.767)
Te (0.771, 0.266, 0.266)

***

What is the calculated volume in the second record?
37.33 A^3/atom